# 1
The following is a DFT calculation (GGA-PBE) of MnCuAg2 after structural relaxation.

a b c (Å): 5.703 7.782 2.866
angles (deg): 90.00 90.00 90.00
Atoms (fractional coordinates):
Mn1 0.000 0.000 0.000
Mn2 0.500 0.500 0.000
Cu1 0.000 0.500 0.000
Cu2 0.500 0.000 0.000
Ag1 0.250 0.250 0.500
Ag2 0.250 0.750 0.500
Ag3 0.750 0.250 0.500
Ag4 0.750 0.750 0.500


# 2
The following is a DFT calculation (GGA-PBE) of MnCuAg after structural relaxation.

a b c (Å): 4.365 4.365 2.722
angles (deg): 90.00 90.00 120.00
Atoms (fractional coordinates):
Mn1 0.000 0.000 0.000
Cu1 0.333 0.667 0.740
Ag1 0.667 0.333 0.391


# 3
The following is a DFT calculation (GGA-PBE) of Mn2CuAg after structural relaxation.

a b c (Å): 3.965 3.965 3.789
angles (deg): 90.00 90.00 90.00
Atoms (fractional coordinates):
Mn1 0.000 0.500 0.000
Mn2 0.500 0.000 0.000
Cu1 0.000 0.000 0.500
Ag1 0.500 0.500 0.500


no.,density of states at the Fermi level (states/eV/f.u.),DFT formation energy (eV per atom)
1,2.1,0.2468
2,1.3,0.2741
3,3.3,0.3171